1.
{"formula": "Th6Ge4Bi", "functional": "PBE", "state": "relaxed", "ef_ev_per_atom": -0.626, "dos_ef_per_ev_cell": 16.54, "magnetic_moment_mub_per_fu": 0.23, "lattice": [[2.153, -7.059, 0.000], [2.153, 7.059, 0.000], [0.000, 0.000, 21.916]], "species": ["Th", "Th", "Th", "Th", "Th", "Th", "Th", "Th", "Th", "Th", "Th", "Th", "Ge", "Ge", "Ge", "Ge", "Ge", "Ge", "Ge", "Ge", "Bi", "Bi"], "fractional_positions": [[0.000, 0.000, 0.000], [0.000, 0.000, 0.500], [0.157, 0.843, 0.750], [0.272, 0.728, 0.083], [0.272, 0.728, 0.417], [0.458, 0.542, 0.660], [0.458, 0.542, 0.840], [0.542, 0.458, 0.160], [0.542, 0.458, 0.340], [0.728, 0.272, 0.583], [0.728, 0.272, 0.917], [0.843, 0.157, 0.250], [0.092, 0.908, 0.624], [0.092, 0.908, 0.876], [0.362, 0.638, 0.541], [0.362, 0.638, 0.959], [0.638, 0.362, 0.041], [0.638, 0.362, 0.459], [0.908, 0.092, 0.124], [0.908, 0.092, 0.376], [0.167, 0.833, 0.250], [0.833, 0.167, 0.750]]}

***

2.
{"formula": "Th3GeBi2", "functional": "PBE", "state": "relaxed", "ef_ev_per_atom": -0.677, "dos_ef_per_ev_cell": 15.98, "relative_energy_mev_per_atom": 0, "magnetic_moment_mub_per_fu": 0.00, "lattice": [[0.000, 6.370, 13.397], [4.533, 0.000, 13.397], [4.533, 6.370, 0.000]], "species": ["Th", "Th", "Th", "Th", "Th", "Th", "Th", "Th", "Th", "Th", "Th", "Th", "Ge", "Ge", "Ge", "Ge", "Bi", "Bi", "Bi", "Bi", "Bi", "Bi", "Bi", "Bi"], "fractional_positions": [[0.039, 0.535, 0.188], [0.099, 0.651, 0.651], [0.188, 0.738, 0.039], [0.262, 0.812, 0.465], [0.349, 0.901, 0.901], [0.465, 0.961, 0.262], [0.535, 0.039, 0.738], [0.651, 0.099, 0.099], [0.738, 0.188, 0.535], [0.812, 0.262, 0.961], [0.901, 0.349, 0.349], [0.961, 0.465, 0.812], [0.041, 0.041, 0.209], [0.209, 0.209, 0.041], [0.791, 0.791, 0.959], [0.959, 0.959, 0.791], [0.129, 0.129, 0.621], [0.295, 0.295, 0.455], [0.379, 0.379, 0.871], [0.455, 0.455, 0.295], [0.545, 0.545, 0.705], [0.621, 0.621, 0.129], [0.705, 0.705, 0.545], [0.871, 0.871, 0.379]]}

***

3.
{"formula": "Th3GeBi2", "functional": "PBE", "state": "relaxed", "ef_ev_per_atom": -0.657, "dos_ef_per_ev_cell": 7.68, "relative_energy_mev_per_atom": 21, "magnetic_moment_mub_per_fu": 0.00, "lattice": [[3.948, -6.728, 0.000], [3.948, 6.728, 0.000], [-2.576, 0.000, 7.285]], "species": ["Th", "Th", "Th", "Th", "Th", "Th", "Ge", "Ge", "Bi", "Bi", "Bi", "Bi"], "fractional_positions": [[0.000, 0.500, 0.000], [0.142, 0.290, 0.493], [0.290, 0.142, 0.993], [0.500, 0.000, 0.500], [0.710, 0.858, 0.007], [0.858, 0.710, 0.507], [0.091, 0.909, 0.250], [0.909, 0.091, 0.750], [0.261, 0.739, 0.750], [0.420, 0.580, 0.250], [0.580, 0.420, 0.750], [0.739, 0.261, 0.250]]}

***

4.
{"formula": "Th5Ge2Bi", "functional": "PBE", "state": "relaxed", "ef_ev_per_atom": -0.562, "dos_ef_per_ev_cell": 17.04, "magnetic_moment_mub_per_fu": 0.00, "lattice": [[-4.018, 4.018, 7.143], [4.018, -4.018, 7.143], [4.018, 4.018, -7.143]], "species": ["Th", "Th", "Th", "Th", "Th", "Th", "Th", "Th", "Th", "Th", "Ge", "Ge", "Ge", "Ge", "Bi", "Bi"], "fractional_positions": [[0.000, 0.000, 0.000], [0.011, 0.511, 0.807], [0.204, 0.011, 0.500], [0.296, 0.796, 0.807], [0.489, 0.296, 0.500], [0.500, 0.500, 0.000], [0.511, 0.704, 0.500], [0.704, 0.204, 0.193], [0.796, 0.989, 0.500], [0.989, 0.489, 0.193], [0.144, 0.356, 0.500], [0.356, 0.856, 0.212], [0.644, 0.144, 0.788], [0.856, 0.644, 0.500], [0.250, 0.250, 0.000], [0.750, 0.750, 0.000]]}

***

5.
{"formula": "Th2GeBi", "functional": "PBE", "state": "relaxed", "ef_ev_per_atom": -0.513, "dos_ef_per_ev_cell": 3.31, "relative_energy_mev_per_atom": 213, "magnetic_moment_mub_per_fu": 0.27, "lattice": [[2.146, 1.239, 7.942], [-2.146, 1.239, 7.942], [0.000, -2.478, 7.942]], "species": ["Th", "Th", "Ge", "Bi"], "fractional_positions": [[0.000, 0.000, 0.000], [0.155, 0.155, 0.155], [0.745, 0.745, 0.745], [0.576, 0.576, 0.576]]}

***

6.
{"formula": "Th4GeBi2", "functional": "PBE", "state": "relaxed", "ef_ev_per_atom": -0.371, "dos_ef_per_ev_cell": 12.25, "magnetic_moment_mub_per_fu": 0.00, "lattice": [[6.467, 0.000, 0.000], [0.000, 6.479, 0.000], [-2.591, 0.000, 10.248]], "species": ["Th", "Th", "Th", "Th", "Th", "Th", "Th", "Th", "Ge", "Ge", "Bi", "Bi", "Bi", "Bi"], "fractional_positions": [[0.168, 0.250, 0.125], [0.271, 0.501, 0.739], [0.271, 0.999, 0.739], [0.313, 0.750, 0.427], [0.687, 0.250, 0.573], [0.729, 0.001, 0.261], [0.729, 0.499, 0.261], [0.832, 0.750, 0.875], [0.037, 0.750, 0.159], [0.963, 0.250, 0.841], [0.160, 0.250, 0.448], [0.378, 0.750, 0.027], [0.622, 0.250, 0.973], [0.840, 0.750, 0.552]]}